The following is a GGA-PBE calculation of an optimized crystal structure of MnCoReCSBr, from Alexandria.

```
6
Lattice="-0.1620 1.6555 -2.6241 -4.0753 -0.0742 0.2047 0.4541 7.5164 4.7825" Properties=species:S:1:pos:R:3 pbc="T T T"
Br -0.5151 1.1345 0.0375
Re -2.5654 5.5136 2.9957
C -1.5620 7.2505 2.1902
S -2.6376 4.8358 0.7334
Co -0.5439 5.9086 1.2808
Mn -0.4961 6.7621 3.6555
```

Values from the calculation:
relative energy among the computed polymorphs = 134 meV per atom